No. 1
# AcPmAsO2

An optimized crystal structure of AcPmAsO2 (PBE, Alexandria).

Geometry as POSCAR:
```
AcPmAsO2
1.0
-1.686 -1.774 -3.182
-2.882 -1.496 2.361
-1.502 7.199 -0.685
Ac As O Pm
1 1 2 1
Direct
0.846 0.846 0.691 Ac
0.505 0.505 0.010 As
0.245 0.745 0.489 O
0.745 0.245 0.489 O
0.160 0.160 0.320 Pm
```

Values from the calculation:
Total energy ... -7.26 eV per atom
Energy relative to the elements, uncorrected ... -12.876 eV per formula unit

=====

No. 2
# Ac2PmAsO8

An optimized crystal structure of Ac2PmAsO8 (PBE, Alexandria).

Geometry as POSCAR:
```
Ac2PmAsO8
1.0
-4.837 0.760 2.717
2.271 -5.110 -0.299
3.213 1.111 5.409
O Ac As Pm
8 2 1 1
Direct
0.154 0.307 0.174 O
0.333 0.667 0.517 O
0.307 0.154 0.826 O
0.667 0.333 0.483 O
0.846 0.693 0.826 O
0.693 0.846 0.174 O
0.154 0.846 0.174 O
0.846 0.154 0.826 O
0.333 0.667 0.860 Ac
0.667 0.333 0.140 Ac
0.000 0.000 0.000 As
0.000 0.000 0.500 Pm
```

Values from the calculation:
Total energy ... -6.95 eV per atom
Energy relative to the elements, uncorrected ... -26.168 eV per formula unit

=====

No. 3
# AcPm2AsO8

An optimized crystal structure of AcPm2AsO8 (PBE, Alexandria).

Geometry as POSCAR:
```
AcPm2AsO8
1.0
4.424 0.204 0.132
0.291 5.547 0.314
0.236 0.444 7.209
O Pm As Ac
8 2 1 1
Direct
0.561 0.735 0.509 O
0.066 0.749 0.202 O
0.886 0.216 0.168 O
0.439 0.265 0.491 O
0.114 0.784 0.832 O
0.389 0.103 0.021 O
0.934 0.251 0.798 O
0.611 0.897 0.979 O
0.569 0.554 0.250 Pm
0.431 0.446 0.750 Pm
0.000 0.000 0.000 As
0.000 0.000 0.500 Ac
```

Values from the calculation:
Total energy ... -7.25 eV per atom
Energy relative to the elements, uncorrected ... -29.042 eV per formula unit

=====

No. 4
# AcPmAsO

An optimized crystal structure of AcPmAsO (PBE, Alexandria).

Geometry as POSCAR:
```
AcPmAsO
1.0
-2.834 3.572 0.503
-2.284 -1.283 -3.766
-5.874 -5.423 5.409
Pm O Ac As
2 2 2 2
Direct
0.500 0.500 0.500 Pm
0.000 0.000 0.500 Pm
0.500 0.500 0.000 O
0.000 0.000 0.000 O
0.000 0.500 0.887 Ac
0.500 0.000 0.113 Ac
0.500 0.000 0.693 As
0.000 0.500 0.307 As
```

Values from the calculation:
Total energy ... -6.58 eV per atom
Energy relative to the elements, uncorrected ... -7.838 eV per formula unit

=====

No. 5
# AcPmAsO6

An optimized crystal structure of AcPmAsO6 (PBE, Alexandria).

Geometry as POSCAR:
```
AcPmAsO6
1.0
5.175 0.000 0.000
0.000 5.616 0.000
0.000 -2.808 4.864
As O Pm Ac
1 6 1 1
Direct
0.500 0.000 0.000 As
0.708 0.004 0.275 O
0.708 0.272 0.996 O
0.708 0.725 0.728 O
0.292 0.004 0.728 O
0.292 0.725 0.996 O
0.292 0.272 0.275 O
0.500 0.667 0.333 Pm
0.000 0.333 0.667 Ac
```

Values from the calculation:
Total energy ... -7.07 eV per atom
Energy relative to the elements, uncorrected ... -20.343 eV per formula unit

=====

No. 6
# AcPrAsO

An optimized crystal structure of AcPrAsO (PBE, Alexandria).

Geometry as POSCAR:
```
AcPrAsO
1.0
-1.534 -1.101 4.176
4.290 0.119 1.608
-1.057 9.511 2.119
As Ac Pr O
2 2 2 2
Direct
0.000 0.500 0.301 As
0.500 0.000 0.699 As
0.000 0.500 0.888 Ac
0.500 0.000 0.112 Ac
0.500 0.500 0.500 Pr
0.000 0.000 0.500 Pr
0.500 0.500 0.000 O
0.000 0.000 0.000 O
```

Values from the calculation:
Total energy ... -6.55 eV per atom
Energy relative to the elements, uncorrected ... -7.705 eV per formula unit

=====

No. 7
# AcPrAsO2

An optimized crystal structure of AcPrAsO2 (PBE, Alexandria).

Geometry as POSCAR:
```
AcPrAsO2
1.0
-3.092 0.167 -2.607
2.274 -1.817 -2.813
-1.773 -5.307 4.907
Pr O Ac As
1 2 1 1
Direct
0.842 0.842 0.683 Pr
0.254 0.754 0.507 O
0.754 0.254 0.507 O
0.155 0.155 0.310 Ac
0.496 0.496 0.992 As
```

Values from the calculation:
Total energy ... -7.24 eV per atom
Energy relative to the elements, uncorrected ... -12.746 eV per formula unit

=====

No. 8
# AcPuAsO

An optimized crystal structure of AcPuAsO (PBE, Alexandria).

Geometry as POSCAR:
```
AcPuAsO
1.0
-3.420 -0.939 -2.527
-1.453 -2.796 3.005
-5.331 7.523 4.422
As O Ac Pu
2 2 2 2
Direct
0.500 0.000 0.697 As
0.000 0.500 0.303 As
0.500 0.500 0.000 O
0.000 0.000 0.000 O
0.500 0.000 0.120 Ac
0.000 0.500 0.880 Ac
0.500 0.500 0.500 Pu
0.000 0.000 0.500 Pu
```

Values from the calculation:
Total energy ... -8.94 eV per atom
Energy relative to the elements, uncorrected ... -7.706 eV per formula unit

=====

> Which value of energy relative to the elements, uncorrected does entry 5 give?

-20.343 eV per formula unit